Entry 1:
# Ac3PmIn3 | Alexandria via LeMat-Bulk | PBE | optimized geometry
data_Ac3PmIn3
_cell_length_a 8.067
_cell_length_b 8.067
_cell_length_c 7.806
_cell_angle_alpha 90.00
_cell_angle_beta 90.00
_cell_angle_gamma 87.27
_symmetry_space_group_name_H-M 'P 1'
_symmetry_Int_Tables_number 1
loop_
_symmetry_equiv_pos_as_xyz
'x,y,z'
loop_
_atom_site_label
_atom_site_type_symbol
_atom_site_fract_x
_atom_site_fract_y
_atom_site_fract_z
_atom_site_occupancy
In1 In 0.000 0.000 0.773 1
Pm1 Pm 0.767 0.767 0.000 1
Ac1 Ac 0.713 0.287 0.000 1
Ac2 Ac 0.255 0.255 0.500 1
Ac3 Ac 0.244 0.756 0.500 1
Ac4 Ac 0.287 0.713 0.000 1
In2 In 0.500 0.000 0.769 1
In3 In 0.000 0.500 0.769 1
In4 In 0.000 0.500 0.231 1
Pm2 Pm 0.233 0.233 0.000 1
Ac5 Ac 0.745 0.745 0.500 1
Ac6 Ac 0.756 0.244 0.500 1
In5 In 0.000 0.000 0.227 1
In6 In 0.500 0.000 0.231 1
# - Mass density: 7.661 g/cm3
# - Energy of formation from the pure elements: -201.0 kJ/mol of formula units
# - Symmetry: Cmmm (65)


Entry 2:
# Na3CePm3Se8 | Alexandria via LeMat-Bulk | PBE | optimized geometry
data_Na3CePm3Se8
_cell_length_a 8.504
_cell_length_b 8.505
_cell_length_c 8.555
_cell_angle_alpha 119.86
_cell_angle_beta 90.00
_cell_angle_gamma 120.00
_symmetry_space_group_name_H-M 'P 1'
_symmetry_Int_Tables_number 1
loop_
_symmetry_equiv_pos_as_xyz
'x,y,z'
loop_
_atom_site_label
_atom_site_type_symbol
_atom_site_fract_x
_atom_site_fract_y
_atom_site_fract_z
_atom_site_occupancy
Na1 Na 0.000 0.000 0.000 1
Se1 Se 0.250 0.011 0.273 1
Se2 Se 0.750 0.989 0.727 1
Pm1 Pm 0.000 0.500 0.500 1
Se3 Se 0.239 0.478 0.727 1
Se4 Se 0.745 0.491 0.736 1
Na2 Na 0.000 0.500 0.000 1
Se5 Se 0.239 0.989 0.727 1
Se6 Se 0.761 0.011 0.273 1
Se7 Se 0.255 0.509 0.264 1
Na3 Na 0.500 0.500 0.000 1
Pm2 Pm 0.500 0.000 0.500 1
Se8 Se 0.761 0.522 0.273 1
Ce1 Ce 0.000 0.000 0.500 1
Pm3 Pm 0.500 0.500 0.500 1
# - Mass density: 4.832 g/cm3
# - Symmetry: C2/m (12)


Entry 3:
# NdMnGe2 | Alexandria via LeMat-Bulk | PBE | optimized geometry
data_NdMnGe2
_cell_length_a 4.157
_cell_length_b 4.157
_cell_length_c 10.727
_cell_angle_alpha 90.00
_cell_angle_beta 90.00
_cell_angle_gamma 120.00
_symmetry_space_group_name_H-M 'P 1'
_symmetry_Int_Tables_number 1
loop_
_symmetry_equiv_pos_as_xyz
'x,y,z'
loop_
_atom_site_label
_atom_site_type_symbol
_atom_site_fract_x
_atom_site_fract_y
_atom_site_fract_z
_atom_site_occupancy
Ge1 Ge 0.667 0.333 0.080 1
Nd1 Nd 0.667 0.333 0.750 1
Ge2 Ge 0.333 0.667 0.580 1
Nd2 Nd 0.333 0.667 0.250 1
Ge3 Ge 0.333 0.667 0.920 1
Mn1 Mn 0.000 0.000 0.000 1
Mn2 Mn 0.000 0.000 0.500 1
Ge4 Ge 0.667 0.333 0.420 1
# - Mass density: 7.127 g/cm3
# - Energy of formation from the pure elements: -181.9 kJ/mol of formula units
# - Symmetry: P6_3/mmc (194)


Entry 4:
# KCr2Mo | Alexandria via LeMat-Bulk | PBE | optimized geometry
data_KCr2Mo
_cell_length_a 2.728
_cell_length_b 2.728
_cell_length_c 10.031
_cell_angle_alpha 90.00
_cell_angle_beta 90.00
_cell_angle_gamma 111.80
_symmetry_space_group_name_H-M 'P 1'
_symmetry_Int_Tables_number 1
loop_
_symmetry_equiv_pos_as_xyz
'x,y,z'
loop_
_atom_site_label
_atom_site_type_symbol
_atom_site_fract_x
_atom_site_fract_y
_atom_site_fract_z
_atom_site_occupancy
K1 K 0.500 0.500 0.250 1
Mo1 Mo 0.500 0.500 0.750 1
Cr1 Cr 0.000 0.000 0.552 1
Cr2 Cr 0.000 0.000 0.948 1
# - Mass density: 5.726 g/cm3
# - Energy of formation from the pure elements: 370.7 kJ/mol of formula units
# - Symmetry: Cmmm (65)
# - ΔE to the lowest computed polymorph: 169.2 meV/atom


Number 1: total moment 0.2 μB per cell, calculated total energy -3.911 eV per atom. Number 2: total moment 0.0 μB per cell, calculated total energy -5.133 eV per atom. Number 3: total moment 4.9 μB per cell, calculated total energy -6.264 eV per atom. Number 4: total moment 0.7 μB per cell, calculated total energy -6.833 eV per atom.